(1)
# RbCd3Au | the Alexandria database | PBE-GGA | optimized geometry
# Density of states at the Fermi level (states/eV per cell): 3.3
# Relative energy among the computed polymorphs (meV/atom): 0
# Total DFT energy (no corrections) (eV per atom): -1.5574
# V (A^3/atom): 29.4
# Energy of formation from the pure elements (eV/atom): -0.16
data_RbCd3Au
_chemical_formula_sum 'Rb2 Cd6 Au2'
_space_group_name_H-M_alt 'P 1'
_space_group_IT_number 1
_cell_length_a 6.983
_cell_length_b 6.983
_cell_length_c 6.751
_cell_angle_alpha 90.00
_cell_angle_beta 90.00
_cell_angle_gamma 116.91
loop_
_space_group_symop_operation_xyz
'x,y,z'
loop_
_atom_site_label
_atom_site_fract_x
_atom_site_fract_y
_atom_site_fract_z
Rb1 0.234 0.766 0.250
Rb2 0.766 0.234 0.750
Cd1 0.289 0.289 0.000
Cd2 0.711 0.711 0.500
Cd3 0.711 0.711 0.000
Cd4 0.889 0.111 0.250
Cd5 0.289 0.289 0.500
Cd6 0.111 0.889 0.750
Au1 0.651 0.349 0.250
Au2 0.349 0.651 0.750



(2)
# RbCd9Au3 | the Alexandria database | PBE-GGA | optimized geometry
# Density of states at the Fermi level (states/eV per cell): 3.3
# Total DFT energy (no corrections) (eV per atom): -1.5818
# V (A^3/atom): 23.1
# Energy of formation from the pure elements (eV/atom): -0.12
data_RbCd9Au3
_chemical_formula_sum 'Rb1 Cd9 Au3'
_space_group_name_H-M_alt 'P 1'
_space_group_IT_number 1
_cell_length_a 5.612
_cell_length_b 7.778
_cell_length_c 7.874
_cell_angle_alpha 82.85
_cell_angle_beta 69.13
_cell_angle_gamma 69.55
loop_
_space_group_symop_operation_xyz
'x,y,z'
loop_
_atom_site_label
_atom_site_fract_x
_atom_site_fract_y
_atom_site_fract_z
Rb1 0.000 0.000 0.000
Cd1 0.713 0.780 0.775
Cd2 0.287 0.220 0.225
Cd3 0.512 0.220 0.775
Cd4 0.488 0.780 0.225
Cd5 0.650 0.351 0.359
Cd6 0.350 0.649 0.641
Cd7 0.991 0.649 0.359
Cd8 0.009 0.351 0.641
Cd9 0.000 0.500 0.000
Au1 0.500 0.500 0.000
Au2 0.000 0.000 0.500
Au3 0.500 0.000 0.500



(3)
# Rb3Cd9Au2 | the Alexandria database | PBE-GGA | optimized geometry
# Density of states at the Fermi level (states/eV per cell): 6.0
# Total DFT energy (no corrections) (eV per atom): -1.3614
# V (A^3/atom): 29.3
# Energy of formation from the pure elements (eV/atom): -0.10
data_Rb3Cd9Au2
_chemical_formula_sum 'Rb3 Cd9 Au2'
_space_group_name_H-M_alt 'P 1'
_space_group_IT_number 1
_cell_length_a 4.979
_cell_length_b 9.546
_cell_length_c 9.546
_cell_angle_alpha 73.16
_cell_angle_beta 74.88
_cell_angle_gamma 74.88
loop_
_space_group_symop_operation_xyz
'x,y,z'
loop_
_atom_site_label
_atom_site_fract_x
_atom_site_fract_y
_atom_site_fract_z
Rb1 0.000 0.000 0.000
Rb2 0.682 0.318 0.318
Rb3 0.318 0.682 0.682
Cd1 0.000 0.500 0.500
Cd2 0.677 0.967 0.679
Cd3 0.323 0.033 0.321
Cd4 0.677 0.679 0.967
Cd5 0.323 0.321 0.033
Cd6 0.885 0.835 0.395
Cd7 0.115 0.165 0.605
Cd8 0.885 0.395 0.835
Cd9 0.115 0.605 0.165
Au1 0.500 0.264 0.736
Au2 0.500 0.736 0.264



(4)
# RbCd4Au4 | the Alexandria database | PBE-GGA | optimized geometry
# Density of states at the Fermi level (states/eV per cell): 2.3
# Total DFT energy (no corrections) (eV per atom): -2.1835
# V (A^3/atom): 25.5
# Energy of formation from the pure elements (eV/atom): -0.21
data_RbCd4Au4
_chemical_formula_sum 'Rb2 Cd8 Au8'
_space_group_name_H-M_alt 'P 1'
_space_group_IT_number 1
_cell_length_a 7.065
_cell_length_b 7.065
_cell_length_c 9.209
_cell_angle_alpha 90.00
_cell_angle_beta 90.00
_cell_angle_gamma 90.00
loop_
_space_group_symop_operation_xyz
'x,y,z'
loop_
_atom_site_label
_atom_site_fract_x
_atom_site_fract_y
_atom_site_fract_z
Rb1 0.000 0.000 0.000
Rb2 0.500 0.500 0.500
Cd1 0.253 0.500 0.880
Cd2 0.747 0.500 0.880
Cd3 0.500 0.747 0.120
Cd4 0.500 0.253 0.120
Cd5 0.000 0.753 0.380
Cd6 0.000 0.247 0.380
Cd7 0.247 0.000 0.620
Cd8 0.753 0.000 0.620
Au1 0.500 0.806 0.814
Au2 0.500 0.194 0.814
Au3 0.806 0.500 0.186
Au4 0.194 0.500 0.186
Au5 0.306 0.000 0.314
Au6 0.694 0.000 0.314
Au7 0.000 0.306 0.686
Au8 0.000 0.694 0.686



(5)
# Rb4Cd3Au5 | the Alexandria database | PBE-GGA | optimized geometry
# Density of states at the Fermi level (states/eV per cell): 3.6
# Total DFT energy (no corrections) (eV per atom): -2.1371
# V (A^3/atom): 31.8
# Energy of formation from the pure elements (eV/atom): -0.22
data_Rb4Cd3Au5
_chemical_formula_sum 'Rb4 Cd3 Au5'
_space_group_name_H-M_alt 'P 1'
_space_group_IT_number 1
_cell_length_a 5.296
_cell_length_b 6.815
_cell_length_c 11.767
_cell_angle_alpha 85.01
_cell_angle_beta 76.99
_cell_angle_gamma 67.14
loop_
_space_group_symop_operation_xyz
'x,y,z'
loop_
_atom_site_label
_atom_site_fract_x
_atom_site_fract_y
_atom_site_fract_z
Rb1 0.147 0.707 0.999
Rb2 0.158 0.027 0.657
Rb3 0.842 0.973 0.343
Rb4 0.853 0.293 0.001
Cd1 0.177 0.385 0.260
Cd2 0.500 0.500 0.500
Cd3 0.823 0.615 0.740
Au1 0.563 0.000 0.874
Au2 0.000 0.500 0.500
Au3 0.577 0.600 0.246
Au4 0.423 0.400 0.754
Au5 0.437 0.000 0.126



(6)
# Rb4Cd2Au | the Alexandria database | PBE-GGA | optimized geometry
# Density of states at the Fermi level (states/eV per cell): 5.8
# Relative energy among the computed polymorphs (meV/atom): 87
# Total DFT energy (no corrections) (eV per atom): -1.3025
# V (A^3/atom): 58.8
# Energy of formation from the pure elements (eV/atom): -0.02
data_Rb4Cd2Au
_chemical_formula_sum 'Rb4 Cd2 Au1'
_space_group_name_H-M_alt 'P 1'
_space_group_IT_number 1
_cell_length_a 6.876
_cell_length_b 6.876
_cell_length_c 9.967
_cell_angle_alpha 110.18
_cell_angle_beta 110.18
_cell_angle_gamma 90.00
loop_
_space_group_symop_operation_xyz
'x,y,z'
loop_
_atom_site_label
_atom_site_fract_x
_atom_site_fract_y
_atom_site_fract_z
Au1 0.000 0.000 0.000
Rb1 0.805 0.805 0.610
Rb2 0.195 0.195 0.390
Rb3 0.000 0.500 0.000
Rb4 0.500 0.000 0.000
Cd1 0.589 0.589 0.178
Cd2 0.411 0.411 0.822



(7)
# Rb3Cd2Au2 | the Alexandria database | PBE-GGA | optimized geometry
# Density of states at the Fermi level (states/eV per cell): 2.4
# Relative energy among the computed polymorphs (meV/atom): 27
# Total DFT energy (no corrections) (eV per atom): -1.7967
# V (A^3/atom): 39.6
# Energy of formation from the pure elements (eV/atom): -0.18
data_Rb3Cd2Au2
_chemical_formula_sum 'Rb3 Cd2 Au2'
_space_group_name_H-M_alt 'P 1'
_space_group_IT_number 1
_cell_length_a 4.908
_cell_length_b 5.188
_cell_length_c 11.456
_cell_angle_alpha 103.09
_cell_angle_beta 102.37
_cell_angle_gamma 90.00
loop_
_space_group_symop_operation_xyz
'x,y,z'
loop_
_atom_site_label
_atom_site_fract_x
_atom_site_fract_y
_atom_site_fract_z
Rb1 0.000 0.000 0.000
Rb2 0.681 0.181 0.363
Rb3 0.319 0.819 0.637
Cd1 0.129 0.629 0.259
Cd2 0.871 0.371 0.741
Au1 0.565 0.565 0.129
Au2 0.435 0.435 0.871



(8)
# RbCd2Au | the Alexandria database | PBE-GGA | optimized geometry
# Density of states at the Fermi level (states/eV per cell): 2.0
# Relative energy among the computed polymorphs (meV/atom): 0
# Total DFT energy (no corrections) (eV per atom): -1.7229
# V (A^3/atom): 31.9
# Energy of formation from the pure elements (eV/atom): -0.20
data_RbCd2Au
_chemical_formula_sum 'Rb2 Cd4 Au2'
_space_group_name_H-M_alt 'P 1'
_space_group_IT_number 1
_cell_length_a 4.784
_cell_length_b 6.803
_cell_length_c 8.384
_cell_angle_alpha 90.00
_cell_angle_beta 90.00
_cell_angle_gamma 110.59
loop_
_space_group_symop_operation_xyz
'x,y,z'
loop_
_atom_site_label
_atom_site_fract_x
_atom_site_fract_y
_atom_site_fract_z
Rb1 0.958 0.917 0.250
Rb2 0.042 0.083 0.750
Cd1 0.315 0.629 0.569
Cd2 0.685 0.371 0.431
Cd3 0.685 0.371 0.069
Cd4 0.315 0.629 0.931
Au1 0.235 0.471 0.250
Au2 0.765 0.529 0.750